VASP calculation (PBE+U) on a geometry-optimized Ba2CoHgO4 structure.

a b c (Å): 6.1990 6.1990 7.5128
angles (deg): 90.00 90.00 90.00
Space group I-4 (No. 82)
Unique sites:
Ba (0.0000, 0.0000, 0.0000) [2 per cell]
Ba (0.0000, 0.5000, 0.2500) [2 per cell]
Co (0.0000, 0.5000, 0.7500) [2 per cell]
Hg (0.0000, 0.0000, 0.5000) [2 per cell]
O (0.1885, 0.2714, 0.6440) [8 per cell]

Values from the calculation:
uncorrected energy: -5.17 eV/atom